## one
Compound: Li2CoSnP2O8
Source: Alexandria via LeMat-Bulk
Functional: GGA+U
Structure: optimized geometry

Cell: 4.8515 6.3288 11.2134 Å, 90.07 88.72 89.05°
With the nearest neighbours (Å) after each atom.
Positions (direct):
O (0.8164, 0.0512, 0.1766)  1 P 1.58
O (0.7737, 0.4469, 0.6408)  1 P 1.58
O (0.2197, 0.9501, 0.3641)  1 P 1.58
O (0.2321, 0.2475, 0.5859)  1 P 1.55
O (0.2263, 0.5531, 0.3592)  1 P 1.58
O (0.7518, 0.2599, 0.9900)  1 P 1.55
O (0.3471, 0.2438, 0.1433)  1 P 1.53
O (0.6529, 0.7562, 0.8567)  1 P 1.53
O (0.7971, 0.4409, 0.1884)  1 P 1.58
O (0.2029, 0.5591, 0.8116)  1 P 1.58
O (0.7679, 0.7525, 0.4141)  1 P 1.55
O (0.7803, 0.0499, 0.6359)  1 P 1.58
O (0.1836, 0.9488, 0.8234)  1 P 1.58
O (0.8103, 0.2560, 0.4456)  1 P 1.55
O (0.2482, 0.7401, 0.0100)  1 P 1.55
O (0.1897, 0.7440, 0.5544)  1 P 1.55
Sn (0.4720, 0.2474, 0.7759)  5 O 2.38-2.47
Sn (0.5280, 0.7526, 0.2241)  5 O 2.38-2.47
Li (0.5000, 0.5000, 0.5000)  6 O 2.11-2.28
Li (0.0000, 0.5000, 0.0000)  2 O 1.96
Li (0.5000, 0.0000, 0.5000)  6 O 2.09-2.30
Li (0.0000, 0.0000, 0.0000)  4 O 2.03-2.17
Co (0.0718, 0.2521, 0.2935)  6 O 2.10-2.23
Co (0.9282, 0.7479, 0.7065)  6 O 2.10-2.23
P (0.6608, 0.2487, 0.1232)  4 O 1.53-1.58
P (0.9147, 0.2499, 0.5755)  4 O 1.55-1.58
P (0.3392, 0.7513, 0.8768)  4 O 1.53-1.58
P (0.0853, 0.7501, 0.4245)  4 O 1.55-1.58

Results
space-group type = P-1 (2)


## two
Compound: Li2CoSnP2O8
Source: Alexandria via LeMat-Bulk
Functional: GGA+U
Structure: optimized geometry

Cell: 4.8324 6.2055 23.6945 Å, 90.00 92.51 90.00°
With the nearest neighbours (Å) after each atom.
Positions (direct):
O (0.7394, 0.4478, 0.5683)  1 P 1.58
O (0.6796, 0.2519, 0.4767)  1 P 1.55
O (0.1333, 0.2272, 0.3286)  1 P 1.54
O (0.2870, 0.9359, 0.1382)  1 P 1.58
O (0.7394, 0.0522, 0.0683)  1 P 1.58
O (0.2606, 0.9478, 0.9317)  1 P 1.58
O (0.7265, 0.7541, 0.4543)  1 P 1.55
O (0.6591, 0.4502, 0.8444)  1 P 1.59
O (0.1333, 0.2728, 0.8286)  1 P 1.54
O (0.2606, 0.5522, 0.4317)  1 P 1.58
O (0.8667, 0.7272, 0.1714)  1 P 1.54
O (0.7108, 0.2078, 0.7602)  1 P 1.53
O (0.7372, 0.4549, 0.0669)  1 P 1.58
O (0.3409, 0.5498, 0.1556)  1 P 1.59
O (0.3204, 0.7519, 0.0233)  1 P 1.55
O (0.7372, 0.0451, 0.5669)  1 P 1.58
O (0.2892, 0.7922, 0.2398)  1 P 1.53
O (0.2892, 0.7078, 0.7398)  1 P 1.53
O (0.7108, 0.2922, 0.2602)  1 P 1.53
O (0.8667, 0.7728, 0.6714)  1 P 1.54
O (0.3409, 0.9502, 0.6556)  1 P 1.59
O (0.2628, 0.5451, 0.9331)  1 P 1.58
O (0.7130, 0.4359, 0.3618)  1 P 1.58
O (0.3204, 0.7481, 0.5233)  1 P 1.55
O (0.2870, 0.5641, 0.6382)  1 P 1.58
O (0.6591, 0.0498, 0.3444)  1 P 1.59
O (0.7130, 0.0641, 0.8618)  1 P 1.58
O (0.6796, 0.2481, 0.9767)  1 P 1.55
O (0.2735, 0.2541, 0.0457)  1 P 1.55
O (0.7265, 0.7459, 0.9543)  1 P 1.55
O (0.2735, 0.2459, 0.5457)  1 P 1.55
O (0.2628, 0.9549, 0.4331)  1 P 1.58
Sn (0.9561, 0.7490, 0.3659)  5 O 2.27-2.48
Sn (0.0439, 0.2510, 0.6341)  5 O 2.27-2.48
Sn (0.9561, 0.7510, 0.8659)  5 O 2.27-2.48
Sn (0.0439, 0.2490, 0.1341)  5 O 2.27-2.48
P (0.8162, 0.2461, 0.8212)  4 O 1.53-1.59
P (0.5908, 0.2479, 0.5386)  4 O 1.55-1.58
P (0.5908, 0.2521, 0.0386)  4 O 1.55-1.58
P (0.4092, 0.7521, 0.4614)  4 O 1.55-1.58
P (0.1838, 0.7539, 0.1788)  4 O 1.53-1.59
P (0.4092, 0.7479, 0.9614)  4 O 1.55-1.58
P (0.1838, 0.7461, 0.6788)  4 O 1.53-1.59
P (0.8162, 0.2539, 0.3212)  4 O 1.53-1.59
Co (0.5831, 0.7486, 0.5980)  6 O 2.09-2.22
Co (0.5831, 0.7514, 0.0980)  6 O 2.09-2.22
Co (0.4168, 0.2486, 0.9020)  6 O 2.09-2.22
Co (0.4168, 0.2514, 0.4020)  6 O 2.09-2.22
Li (0.6209, 0.5620, 0.2226)  3 O 1.94-2.04
Li (0.0000, 0.0000, 0.0000)  6 O 2.12-2.30
Li (0.0000, 0.5000, 0.0000)  6 O 2.09-2.26
Li (0.0000, 0.0000, 0.5000)  6 O 2.09-2.26
Li (0.6209, 0.9380, 0.7226)  3 O 1.94-2.04
Li (0.3791, 0.4380, 0.7774)  3 O 1.94-2.04
Li (0.3791, 0.0620, 0.2774)  3 O 1.94-2.04
Li (0.0000, 0.5000, 0.5000)  6 O 2.12-2.30

Results
space-group type = P2_1/c (14)


## three
Compound: Li2CoSnP2O8
Source: Alexandria via LeMat-Bulk
Functional: GGA+U
Structure: optimized geometry

Cell: 5.8306 10.3584 12.5133 Å, 106.81 90.00 90.00°
With the nearest neighbours (Å) after each atom.
Positions (direct):
Co (0.7332, 0.0172, 0.1735)  4 O 2.02-2.08
Co (0.7331, 0.5172, 0.1735)  4 O 2.02-2.08
Co (0.2331, 0.4828, 0.8265)  4 O 2.02-2.08
Co (0.2332, 0.9828, 0.8265)  4 O 2.02-2.08
P (0.2308, 0.9568, 0.0810)  4 O 1.55-1.57
P (0.7666, 0.7031, 0.3966)  4 O 1.53-1.61
P (0.7665, 0.2032, 0.3966)  4 O 1.53-1.61
P (0.2308, 0.4568, 0.0810)  4 O 1.55-1.57
P (0.7308, 0.0432, 0.9190)  4 O 1.55-1.57
P (0.7308, 0.5432, 0.9190)  4 O 1.55-1.57
P (0.2665, 0.7968, 0.6034)  4 O 1.53-1.61
P (0.2666, 0.2969, 0.6034)  4 O 1.53-1.61
O (0.2566, 0.6430, 0.5688)  1 P 1.53
O (0.2347, 0.8960, 0.9519)  1 P 1.56
O (0.7258, 0.8869, 0.8828)  1 P 1.55
O (0.4529, 0.9006, 0.1215)  1 P 1.56
O (0.2347, 0.3960, 0.9519)  1 P 1.56
O (0.0612, 0.3623, 0.6875)  1 P 1.61
O (0.7590, 0.6410, 0.4947)  1 P 1.54
O (0.9528, 0.5994, 0.8786)  1 P 1.56
O (0.7566, 0.3570, 0.4312)  1 P 1.53
O (0.7566, 0.8570, 0.4313)  1 P 1.53
O (0.7347, 0.1040, 0.0481)  1 P 1.56
O (0.2566, 0.1430, 0.5687)  1 P 1.53
O (0.0612, 0.8624, 0.6875)  1 P 1.61
O (0.2258, 0.6131, 0.1172)  1 P 1.55
O (0.9790, 0.6450, 0.3194)  1 P 1.58
O (0.5612, 0.6377, 0.3125)  1 P 1.61
O (0.2591, 0.8590, 0.5054)  1 P 1.54
O (0.7347, 0.6040, 0.0481)  1 P 1.56
O (0.5612, 0.1376, 0.3125)  1 P 1.61
O (0.9529, 0.0994, 0.8785)  1 P 1.56
O (0.5160, 0.6014, 0.8730)  1 P 1.57
O (0.9790, 0.1451, 0.3194)  1 P 1.58
O (0.5160, 0.1014, 0.8730)  1 P 1.57
O (0.7591, 0.1410, 0.4946)  1 P 1.54
O (0.7258, 0.3869, 0.8828)  1 P 1.55
O (0.2258, 0.1131, 0.1172)  1 P 1.55
O (0.0160, 0.3986, 0.1270)  1 P 1.57
O (0.4790, 0.8549, 0.6806)  1 P 1.58
O (0.4790, 0.3550, 0.6806)  1 P 1.58
O (0.2590, 0.3590, 0.5053)  1 P 1.54
O (0.4528, 0.4006, 0.1214)  1 P 1.56
O (0.0160, 0.8986, 0.1270)  1 P 1.57
Li (0.0162, 0.7075, 0.0419)  4 O 1.96-2.06
Li (0.0089, 0.5002, 0.4996)  4 O 2.07-2.09
Li (0.5089, 0.4998, 0.5004)  4 O 2.07-2.09
Li (0.0089, 0.0002, 0.4996)  4 O 2.07-2.09
Li (0.0162, 0.2075, 0.0419)  4 O 1.96-2.06
Li (0.5089, 0.9998, 0.5004)  4 O 2.07-2.09
Li (0.5162, 0.2925, 0.9581)  4 O 1.96-2.06
Li (0.5162, 0.7925, 0.9581)  4 O 1.96-2.06
Sn (0.2657, 0.7683, 0.2887)  3 O 2.20-2.29
Sn (0.2657, 0.2683, 0.2887)  3 O 2.20-2.29
Sn (0.7657, 0.7317, 0.7113)  3 O 2.20-2.29
Sn (0.7657, 0.2317, 0.7113)  3 O 2.20-2.29

Results
space-group type = P2_1 (4)


So which one wins? Going from most stable to least: two, three, one.


## one
Compound: Li2CoSnP2O8
Source: Alexandria via LeMat-Bulk
Functional: GGA+U
Structure: optimized geometry

Cell: 4.8346 11.8440 6.2094 Å, 90.00 90.00 92.53°
With the nearest neighbours (Å) after each atom.
Positions (direct):
O (0.3673, 0.8425, 0.7791)  1 P 1.54
O (0.2104, 0.0208, 0.2127)  1 P 1.53
O (0.8206, 0.5467, 0.7571)  1 P 1.55
O (0.7593, 0.3635, 0.9544)  1 P 1.58
O (0.2408, 0.6365, 0.4544)  1 P 1.58
O (0.8417, 0.8112, 0.9559)  1 P 1.59
O (0.7745, 0.5916, 0.2542)  1 P 1.55
O (0.7625, 0.3663, 0.5519)  1 P 1.58
O (0.1583, 0.1887, 0.4559)  1 P 1.59
O (0.2375, 0.6338, 0.0519)  1 P 1.58
O (0.2132, 0.2243, 0.0703)  1 P 1.58
O (0.7868, 0.7757, 0.5704)  1 P 1.58
O (0.7895, 0.9793, 0.7127)  1 P 1.53
O (0.6327, 0.1575, 0.2792)  1 P 1.54
O (0.1794, 0.4533, 0.2571)  1 P 1.55
O (0.2255, 0.4084, 0.7542)  1 P 1.55
Li (0.5125, 0.5058, 0.5036)  5 O 2.10-2.29
Li (0.4875, 0.4942, 0.0036)  5 O 2.10-2.29
Li (0.8785, 0.0548, 0.4433)  3 O 1.94-2.04
Li (0.1215, 0.9452, 0.9433)  3 O 1.94-2.04
P (0.0915, 0.5772, 0.2547)  4 O 1.55-1.58
P (0.6842, 0.8572, 0.7517)  4 O 1.53-1.59
P (0.3158, 0.1428, 0.2517)  4 O 1.53-1.59
P (0.9085, 0.4228, 0.7547)  4 O 1.55-1.58
Sn (0.4546, 0.2319, 0.7558)  5 O 2.28-2.48
Sn (0.5454, 0.7681, 0.2558)  5 O 2.27-2.48
Co (0.9164, 0.3042, 0.2552)  6 O 2.10-2.22
Co (0.0836, 0.6958, 0.7553)  6 O 2.10-2.22

Results
space-group type = P2_1 (4)


## two
Compound: Li2CoSnP2O8
Source: Alexandria via LeMat-Bulk
Functional: GGA+U
Structure: optimized geometry

Cell: 12.1469 5.8906 4.9629 Å, 90.00 78.67 90.00°
With the nearest neighbours (Å) after each atom.
Positions (direct):
Co (0.3175, 0.2500, 0.0497)  5 O 2.02-2.18
Co (0.6825, 0.7500, 0.9503)  5 O 2.02-2.18
O (0.9190, 0.7500, 0.2756)  1 P 1.53
O (0.1831, 0.4561, 0.2829)  1 P 1.59
O (0.8169, 0.5440, 0.7171)  1 P 1.59
O (0.5424, 0.7499, 0.7719)  1 P 1.56
O (0.0810, 0.2500, 0.7244)  1 P 1.53
O (0.0018, 0.7501, 0.7136)  1 P 1.54
O (0.8169, 0.9561, 0.7171)  1 P 1.59
O (0.4576, 0.2499, 0.2281)  1 P 1.56
O (0.9983, 0.2500, 0.2864)  1 P 1.54
O (0.5962, 0.2498, 0.7487)  1 P 1.54
O (0.1831, 0.0440, 0.2829)  1 P 1.59
O (0.3648, 0.9661, 0.8268)  1 P 1.57
O (0.3648, 0.5338, 0.8266)  1 P 1.57
O (0.6352, 0.0338, 0.1734)  1 P 1.57
O (0.6352, 0.4661, 0.1733)  1 P 1.57
O (0.4038, 0.7498, 0.2513)  1 P 1.54
Li (0.4998, 0.5003, 0.4995)  4 O 2.08-2.13
Li (0.0000, 0.5000, 0.0000)  4 O 2.04-2.12
Li (0.0000, 0.0000, 0.0000)  4 O 2.04-2.12
Li (0.5001, 0.0003, 0.5004)  4 O 2.08-2.13
Sn (0.7825, 0.2500, 0.4469)  3 O 2.28-2.46
Sn (0.2175, 0.7500, 0.5532)  3 O 2.28-2.46
P (0.5817, 0.2499, 0.0650)  4 O 1.54-1.57
P (0.1051, 0.2500, 0.4109)  4 O 1.53-1.59
P (0.4183, 0.7499, 0.9350)  4 O 1.54-1.57
P (0.8949, 0.7500, 0.5891)  4 O 1.53-1.59

Results
space-group type = P2_1/m (11)


So which one wins? Going from most stable to least: one, two.


## one
Compound: LiCoPt3O6
Source: Alexandria via LeMat-Bulk
Functional: GGA+U
Structure: optimized geometry

Cell: 3.1613 6.2437 6.7492 Å, 75.13 90.00 90.00°
With the nearest neighbours (Å) after each atom.
Positions (direct):
Li (0.0000, 0.6950, 0.7530)  3 O 1.96-1.97
Pt (0.0000, 0.0017, 0.0061)  4 O 1.99-2.10
Pt (0.5000, 0.4777, 0.0376)  4 O 2.04-2.07
Pt (0.5000, 0.0180, 0.4913)  6 O 2.03-2.08
O (0.0000, 0.9665, 0.3133)  3 Pt 2.03-2.06
O (0.5000, 0.3543, 0.3938)  1 Pt 2.03, 2 Co 2.06
O (0.5000, 0.6785, 0.5828)  2 Li 1.97, 1 Pt 2.05, 2 Co 2.12
O (0.0000, 0.3313, 0.9338)  3 Pt 1.99-2.04
O (0.0000, 0.6591, 0.1080)  3 Pt 2.07, 1 Co 2.16
O (0.0000, 0.0201, 0.6911)  1 Li 1.96, 3 Pt 2.08-2.10
Co (0.0000, 0.5479, 0.4393)  5 O 2.06-2.16

Results
space-group type = Pm (6)


## two
Compound: LiCoPt3O6
Source: Alexandria via LeMat-Bulk
Functional: GGA+U
Structure: optimized geometry

Cell: 3.0381 6.4504 6.7597 Å, 86.26 90.00 90.00°
With the nearest neighbours (Å) after each atom.
Positions (direct):
O (0.0000, 0.9542, 0.7138)  2 Li 2.04, 3 Pt 2.09-2.13
O (0.0000, 0.0753, 0.3030)  3 Pt 2.02-2.03
O (0.5000, 0.7045, 0.4890)  1 Li 1.89, 2 Co 1.96, 1 Pt 2.05
O (0.0000, 0.3113, 0.9525)  3 Pt 2.00-2.01
O (0.0000, 0.6871, 0.0921)  3 Pt 2.03-2.08
O (0.5000, 0.3335, 0.5093)  2 Co 1.92, 1 Pt 2.01
Pt (0.0000, 0.0045, 0.0168)  4 O 2.00-2.09
Pt (0.5000, 0.0220, 0.4994)  6 O 2.01-2.13
Pt (0.5000, 0.4914, 0.0322)  4 O 2.01-2.03
Co (0.0000, 0.5147, 0.4723)  4 O 1.92-1.96
Li (0.5000, 0.7453, 0.7634)  3 O 1.89-2.04

Results
space-group type = Pm (6)


So which one wins? Going from most stable to least: one, two.